Record 1
Computed, not measured: a relaxed structure of La6Bi3Sb2Pb at the PBE-GGA level of DFT.

a b c (Å): 10.431 10.431 9.381
angles (deg): 102.54 102.54 25.83
Element x y z (fractional)
La1 0.002 0.002 0.253
La2 0.332 0.332 0.419
La3 0.333 0.333 0.911
La4 0.667 0.667 0.089
La5 0.668 0.668 0.581
La6 0.998 0.998 0.747
Bi1 0.166 0.166 0.834
Bi2 0.500 0.500 0.500
Bi3 0.834 0.834 0.166
Sb1 0.167 0.167 0.334
Sb2 0.833 0.833 0.666
Pb1 0.500 0.500 0.000

Summary:
E_form (uncorrected)   -1.02 eV per atom
Space-group type   C2/m (12)
Calculated volume   433.47 Å³/f.u.
Spin magnetization   0.00 μB per cell

=====

Record 2
Computed, not measured: a relaxed structure of Cs2NaPdCl at the PBE-GGA level of DFT.

a b c (Å): 7.059 7.059 4.755
angles (deg): 90.00 90.00 90.00
Element x y z (fractional)
Cs1 0.000 0.500 0.000
Cs2 0.500 0.000 0.000
Na1 0.000 0.000 0.500
Pd1 0.500 0.500 0.000
Cl1 0.500 0.500 0.500

Summary:
E_form (uncorrected)   -0.36 eV per atom
Space-group type   P4/mmm (123)
Calculated volume   236.92 Å³/f.u.
Spin magnetization   0.00 μB per cell